Run a
A plane-wave DFT calculation with PBE was carried out for a relaxed structure of NaLuSbIr.

Its crystal system is cubic. The value obtained for the size of the total moment is 0.001 μB per formula unit.

The space group is F-43m (No. 216) and the conventional cell measures 6.748, 6.748 and 6.748 Å, with angles of 90.00, 90.00 and 90.00 degrees. Symmetry generates all atoms from Na at (0.000, 0.000, 0.000), Lu at (0.250, 0.250, 0.250), Sb at (0.250, 0.250, 0.750) and Ir at (0.000, 0.000, 0.500).

---

Run b
A plane-wave DFT calculation with PBE was carried out for a relaxed structure of NaLuSbIr.

Its crystal system is cubic. The value obtained for the size of the total moment is 0.007 μB per formula unit.

The space group is F-43m (No. 216) and the conventional cell measures 6.939, 6.939 and 6.939 Å, with angles of 90.00, 90.00 and 90.00 degrees. Symmetry generates all atoms from Na at (0.000, 0.000, 0.000), Lu at (0.000, 0.000, 0.500), Sb at (0.250, 0.250, 0.750) and Ir at (0.250, 0.250, 0.250).

---

Stability check: which of them is least stable? run b.

---

Run a
A plane-wave DFT calculation with PBE was carried out for a relaxed structure of NaLuTaIr.

Its crystal system is cubic. The value obtained for the size of the total moment is 0.076 μB per formula unit.

The space group is F-43m (No. 216) and the conventional cell measures 6.667, 6.667 and 6.667 Å, with angles of 90.00, 90.00 and 90.00 degrees. Symmetry generates all atoms from Na at (0.000, 0.000, 0.000), Lu at (0.250, 0.250, 0.250), Ta at (0.000, 0.000, 0.500) and Ir at (0.250, 0.250, 0.750).

---

Run b
A plane-wave DFT calculation with PBE was carried out for a relaxed structure of NaLuTaIr.

Its crystal system is cubic. The value obtained for the size of the total moment is 0.003 μB per formula unit.

The space group is F-43m (No. 216) and the conventional cell measures 6.690, 6.690 and 6.690 Å, with angles of 90.00, 90.00 and 90.00 degrees. Symmetry generates all atoms from Na at (0.000, 0.000, 0.000), Lu at (0.250, 0.250, 0.250), Ta at (0.250, 0.250, 0.750) and Ir at (0.000, 0.000, 0.500).

---

Stability check: which of them is least stable? run a.

---

Run a
A plane-wave DFT calculation with PBE was carried out for a relaxed structure of LuIrPb2.

Its crystal system is cubic. The value obtained for the size of the total moment is 0.003 μB per formula unit.

The space group is F-43m (No. 216) and the conventional cell measures 6.266, 6.266 and 6.266 Å, with angles of 90.00, 90.00 and 90.00 degrees. Symmetry generates all atoms from Lu at (0.000, 0.000, 0.000), Ir at (0.250, 0.250, 0.250), Pb at (0.000, 0.000, 0.500) and Pb at (0.250, 0.250, 0.750).

---

Run b
A plane-wave DFT calculation with PBE was carried out for a relaxed structure of LuIrPb2.

Its crystal system is cubic. The value obtained for the size of the total moment is 0.001 μB per formula unit.

The space group is F-43m (No. 216) and the conventional cell measures 7.143, 7.143 and 7.143 Å, with angles of 90.00, 90.00 and 90.00 degrees. Symmetry generates all atoms from Lu at (0.000, 0.000, 0.000), Ir at (0.250, 0.250, 0.750), Pb at (0.000, 0.000, 0.500) and Pb at (0.250, 0.250, 0.250).

---

Stability check: which of them is least stable? run a.

---

Run a
A plane-wave DFT calculation with PBE was carried out for a relaxed structure of LuSi2IrPt.

Its crystal system is tetragonal. The value obtained for the size of the total moment is 0.000 μB per formula unit.

The space group is P4/nmm (No. 129, origin choice 2) and the conventional cell measures 4.083, 4.083 and 10.021 Å, with angles of 90.00, 90.00 and 90.00 degrees. Symmetry generates all atoms from Lu at (0.250, 0.250, 0.248), Si at (0.250, 0.250, 0.870), Si at (0.250, 0.750, 0.500), Ir at (0.250, 0.750, 0.000) and Pt at (0.250, 0.250, 0.633).

---

Run b
A plane-wave DFT calculation with PBE was carried out for a relaxed structure of LuSi2IrPt.

Its crystal system is tetragonal. The value obtained for the size of the total moment is 0.004 μB per formula unit.

The space group is P4/nmm (No. 129, origin choice 2) and the conventional cell measures 4.103, 4.103 and 10.001 Å, with angles of 90.00, 90.00 and 90.00 degrees. Symmetry generates all atoms from Lu at (0.250, 0.250, 0.242), Si at (0.250, 0.250, 0.640), Si at (0.250, 0.750, 0.000), Ir at (0.250, 0.250, 0.872) and Pt at (0.250, 0.750, 0.500).

---

Stability check: which of them is least stable? run b.